SrNbSb2I: single point on PBEsol structure, SCAN.

The structure belongs to space group P4/mmm (No. 123); the cell edges are 5.8063, 5.8063 and 5.8489 Å and the angles 90.00°, 90.00° and 90.00°. The inequivalent atoms are Sr at (0.0000, 0.0000, 0.0000), Nb at (0.5000, 0.5000, 0.5000), Sb at (0.0000, 0.5000, 0.0000) and I at (0.0000, 0.0000, 0.5000).

The value obtained for the volume is 39.437 A^3/atom. The value obtained for the formation energy without anion corrections is 5.54 eV/f.u. The raw total energy is -32.225 eV per atom.